Crystalline SrGdSnPb at its relaxed geometry, computed with GGA-PBE.

Calculated values
calculated volume: 31.107 Å³/atom
uncorrected energy: -0.46699 Ry per atom
magnetization: 7.12 μB/cell
energy relative to the elements: -0.485 eV per atom

Geometry as POSCAR:
```
SrGdSnPb
1.0
-3.624 -2.598 -3.394
-1.866 -5.124 1.288
-5.319 -0.723 1.608
Pb Sr Gd Sn
1 1 1 1
Cartesian
-8.107 -6.334 -0.374
-5.405 -4.222 -0.249
0.000 0.000 0.000
-2.702 -2.111 -0.125
```

---

Crystalline GdYSnPb at its relaxed geometry, computed with GGA-PBE.

Calculated values
calculated volume: 28.293 Å³/atom
uncorrected energy: -0.55610 Ry per atom
magnetization: 7.44 μB/cell
energy relative to the elements: -0.502 eV per atom

Geometry as POSCAR:
```
GdYSnPb
1.0
-2.728 -3.451 3.183
2.320 -1.951 4.505
-1.757 1.616 4.877
Pb Y Gd Sn
1 1 1 1
Cartesian
-1.082 -1.893 6.282
-1.624 -2.839 9.423
-0.541 -0.946 3.141
0.000 0.000 0.000
```

---

Crystalline SrGdPb4 at its relaxed geometry, computed with GGA-PBE.

Calculated values
calculated volume: 33.080 Å³/atom
uncorrected energy: -0.39273 Ry per atom
magnetization: 7.56 μB/cell
energy relative to the elements: -0.244 eV per atom

Geometry as POSCAR:
```
SrGdPb4
1.0
6.548 0.000 0.000
3.274 5.670 0.000
3.274 1.890 5.346
Pb Sr Gd
4 1 1
Cartesian
6.548 3.780 0.660
6.548 1.883 3.344
8.191 4.729 3.344
4.904 4.729 3.344
3.274 1.890 1.337
0.000 0.000 0.000
```

---

Crystalline SrGdZnPb at its relaxed geometry, computed with GGA-PBE.

Calculated values
calculated volume: 29.333 Å³/atom
uncorrected energy: -0.40620 Ry per atom
magnetization: 7.39 μB/cell
energy relative to the elements: -0.340 eV per atom

Geometry as POSCAR:
```
SrGdZnPb
1.0
-3.227 -3.586 2.631
1.577 -5.237 0.533
1.486 -1.934 4.924
Pb Sr Zn Gd
1 1 1 1
Cartesian
-0.082 -5.379 4.044
-0.041 -2.689 2.022
0.000 0.000 0.000
-0.123 -8.068 6.066
```

---

Crystalline TbGdPb2 at its relaxed geometry, computed with GGA-PBE.

Calculated values
calculated volume: 28.488 Å³/atom
uncorrected energy: -0.51511 Ry per atom
magnetization: 7.93 μB/cell
energy relative to the elements: -0.477 eV per atom

Geometry as POSCAR:
```
TbGdPb2
1.0
4.484 0.000 0.000
0.000 5.041 0.000
0.000 0.000 5.041
Pb Gd Tb
2 1 1
Cartesian
0.000 0.000 2.521
0.000 2.521 0.000
2.242 0.000 0.000
2.242 2.521 2.521
```

---

Crystalline TbGd2Pb at its relaxed geometry, computed with GGA-PBE.

Calculated values
E above lowest polymorph: 0.0 meV per atom
calculated volume: 29.373 Å³/atom
uncorrected energy: -0.69422 Ry per atom
magnetization: 15.51 μB/cell
energy relative to the elements: -0.320 eV per atom

Geometry as POSCAR:
```
TbGd2Pb
1.0
4.940 0.000 0.000
0.000 4.877 0.000
0.000 0.000 4.877
Pb Gd Tb
1 2 1
Cartesian
2.470 0.000 0.000
0.000 0.000 2.439
0.000 2.439 0.000
2.470 2.439 2.439
```

---

Crystalline TbGdPb2 at its relaxed geometry, computed with GGA-PBE.

Calculated values
calculated volume: 28.400 Å³/atom
uncorrected energy: -0.51595 Ry per atom
magnetization: 7.45 μB/cell
energy relative to the elements: -0.488 eV per atom

Geometry as POSCAR:
```
TbGdPb2
1.0
-2.360 1.123 -2.403
1.330 -2.282 -2.372
-5.827 -6.288 2.784
Pb Gd Tb
2 1 1
Cartesian
-4.357 -4.702 2.082
-1.470 -1.586 0.702
-0.515 -0.580 -2.388
-3.428 -3.724 -0.996
```

---

Crystalline TbGd2Pb at its relaxed geometry, computed with GGA-PBE.

Calculated values
E above lowest polymorph: 369.3 meV per atom
calculated volume: 33.124 Å³/atom
uncorrected energy: -0.66708 Ry per atom
magnetization: 14.53 μB/cell
energy relative to the elements: 0.049 eV per atom

Geometry as POSCAR:
```
TbGd2Pb
1.0
3.554 0.000 0.000
1.777 3.078 0.000
1.777 1.026 12.114
Pb Gd Tb
1 2 1
Cartesian
0.000 0.000 0.000
1.777 1.026 8.910
5.331 3.078 3.204
3.554 2.052 6.057
```

---

Crystalline TbGdTlPb at its relaxed geometry, computed with GGA-PBE.

Calculated values
calculated volume: 28.409 Å³/atom
uncorrected energy: -0.48405 Ry per atom
magnetization: 7.20 μB/cell
energy relative to the elements: -0.389 eV per atom

Geometry as POSCAR:
```
TbGdTlPb
1.0
5.437 0.000 0.000
2.718 4.708 0.000
2.718 1.569 4.439
Pb Tl Gd Tb
1 1 1 1
Cartesian
0.000 0.000 0.000
5.437 3.139 2.220
8.155 4.708 3.329
2.718 1.569 1.110
```

---

Crystalline TbGdZnPb at its relaxed geometry, computed with GGA-PBE.

Calculated values
calculated volume: 26.029 Å³/atom
uncorrected energy: -0.46372 Ry per atom
magnetization: 7.37 μB/cell
energy relative to the elements: -0.386 eV per atom

Geometry as POSCAR:
```
TbGdZnPb
1.0
-2.192 -1.002 -4.699
3.044 -1.348 -4.099
-0.113 -4.941 -1.861
Pb Zn Gd Tb
1 1 1 1
Cartesian
0.554 -5.468 -7.994
0.185 -1.823 -2.665
0.000 0.000 0.000
0.370 -3.645 -5.329
```

---

Crystalline Gd2TcPb at its relaxed geometry, computed with GGA-PBE.

Calculated values
calculated volume: 25.158 Å³/atom
uncorrected energy: -0.79082 Ry per atom
magnetization: 13.61 μB/cell
energy relative to the elements: -0.201 eV per atom

Geometry as POSCAR:
```
Gd2TcPb
1.0
-0.412 2.648 2.186
-3.433 -0.360 -0.210
0.162 -5.340 6.499
Pb Gd Tc
1 2 1
Cartesian
-1.841 -1.526 4.237
0.130 -4.260 5.185
0.033 -1.080 1.314
-1.923 1.144 0.988
```

---

Crystalline GdTe2Pb at its relaxed geometry, computed with GGA-PBE.

Calculated values
E above lowest polymorph: 12.3 meV per atom
calculated volume: 29.783 Å³/atom
uncorrected energy: -0.50084 Ry per atom
magnetization: 7.53 μB/cell
energy relative to the elements, uncorrected: -0.796 eV per atom

Geometry as POSCAR:
```
GdTe2Pb
1.0
3.891 0.000 0.000
0.000 3.891 0.000
0.000 0.000 7.869
Pb Gd Te
1 1 2
Cartesian
1.945 1.945 3.934
1.945 1.945 0.000
0.000 0.000 6.096
0.000 0.000 1.773
```